BaErP2S8: relaxed, PBE.

```
BaErP2S8
1.0
6.0722 0.0000 0.0000
-3.0361 5.2587 0.0000
0.0000 0.0000 9.2150
Ba Er P S
1 1 2 8
direct
0.0000 0.0000 0.0000 Ba
0.0000 0.0000 0.5000 Er
0.3333 0.6667 0.7507 P
0.6667 0.3333 0.2493 P
0.0024 0.3466 0.6890 S
0.3333 0.6667 0.9719 S
0.3442 0.9976 0.6890 S
0.3466 0.3442 0.3110 S
0.6534 0.6558 0.6890 S
0.6558 0.0024 0.3110 S
0.6667 0.3333 0.0281 S
0.9976 0.6534 0.3110 S
```

## Properties
Calculated volume (Å³ per atom): 24.52
Formation energy without anion corrections (meV/atom): -851

CsSiIN2: relaxed, PBE.

```
CsSiIN2
1.0
4.5405 0.0000 0.0000
0.0000 4.5405 0.0000
0.0000 0.0000 7.2187
Cs Si I N
1 1 1 2
direct
0.0000 0.0000 0.0000 Cs
0.5000 0.5000 0.5000 Si
0.0000 0.0000 0.5000 I
0.0000 0.5000 0.0000 N
0.5000 0.0000 0.0000 N
```

## Properties
Calculated volume (Å³ per atom): 29.76
Distance to the lowest polymorph of the same formula (meV per atom): 1197
Formation energy without anion corrections (meV/atom): 2351